Entry 1:
VASP calculation (PBE) on a relaxed Nd3Er3Te2Os crystal.

a = 8.4060 Å, b = 8.4060 Å, c = 4.1106 Å
α = 90.00°, β = 90.00°, γ = 120.00°
With the nearest neighbours (Å) after each atom.
Fractional coordinates of all 9 atoms:
Nd (0.0000, 0.6023, 0.0000)  4 Te 3.29, 1 Os 3.34, 4 Er 3.56
Nd (0.3977, 0.3977, 0.0000)  4 Te 3.29, 1 Os 3.34, 4 Er 3.56
Nd (0.6023, 0.0000, 0.0000)  4 Te 3.29, 1 Os 3.34, 4 Er 3.56
Er (0.0000, 0.2327, 0.5000)  2 Os 2.84
Er (0.2327, 0.0000, 0.5000)  2 Os 2.84
Er (0.7673, 0.7673, 0.5000)  2 Os 2.84
Te (0.3333, 0.6667, 0.5000)  6 Nd 3.29, 3 Er 3.31
Te (0.6667, 0.3333, 0.5000)  6 Nd 3.29, 3 Er 3.31
Os (0.0000, 0.0000, 0.0000)  6 Er 2.84

SG ... No. 189
Energy above the most stable polymorph in this dataset ... 0.000 eV/atom

Entry 2:
VASP calculation (PBE) on a relaxed NdEr2Tm3Te2Os crystal.

a = 4.0550 Å, b = 8.2230 Å, c = 8.2230 Å
α = 118.92°, β = 90.00°, γ = 90.00°
With the nearest neighbours (Å) after each atom.
Fractional coordinates of all 9 atoms:
Nd (0.0000, 0.0000, 0.0000)  4 Te 3.26, 6 Tm 3.52-3.59, 1 Os 3.55
Er (0.0000, 0.4020, 0.7867)  1 Os 3.07, 4 Te 3.24-3.27, 2 Tm 3.42
Er (0.0000, 0.7867, 0.4020)  1 Os 3.07, 4 Te 3.24-3.27, 2 Tm 3.42
Tm (0.5000, 0.1679, 0.3988)  2 Os 2.86, 1 Te 3.18
Tm (0.5000, 0.3988, 0.1679)  2 Os 2.86, 1 Te 3.18
Tm (0.5000, 0.6449, 0.6449)  2 Os 2.74
Te (0.5000, 0.0704, 0.7294)  3 Tm 3.18-3.30, 4 Er 3.24-3.27, 2 Nd 3.26
Te (0.5000, 0.7294, 0.0704)  3 Tm 3.18-3.30, 4 Er 3.24-3.27, 2 Nd 3.26
Os (0.0000, 0.4244, 0.4244)  6 Tm 2.74-2.86

SG ... No. 38
Energy ... -5.72 eV per atom

Entry 3:
VASP calculation (PBE) on a relaxed Nd3Er2TmTe2Os crystal.

a = 4.1071 Å, b = 8.3989 Å, c = 8.3989 Å
α = 120.03°, β = 90.00°, γ = 90.00°
With the nearest neighbours (Å) after each atom.
Fractional coordinates of all 9 atoms:
Nd (0.0000, 0.0000, 0.0000)  4 Te 3.29, 1 Os 3.34, 4 Er 3.56
Nd (0.0000, 0.2048, 0.6024)  4 Te 3.29, 1 Os 3.34, 2 Er 3.56, 2 Tm 3.56
Nd (0.0000, 0.6024, 0.2048)  4 Te 3.29, 1 Os 3.34, 2 Er 3.56, 2 Tm 3.56
Er (0.5000, 0.6024, 0.8348)  2 Os 2.83
Er (0.5000, 0.8348, 0.6024)  2 Os 2.83
Tm (0.5000, 0.3702, 0.3702)  2 Os 2.83
Te (0.5000, 0.2690, 0.9358)  6 Nd 3.29, 2 Er 3.30-3.31, 1 Tm 3.31
Te (0.5000, 0.9358, 0.2690)  6 Nd 3.29, 2 Er 3.30-3.31, 1 Tm 3.31
Os (0.0000, 0.6020, 0.6020)  2 Tm 2.83, 4 Er 2.83

SG ... No. 38
Energy ... -5.81 eV per atom

Entry 4:
VASP calculation (PBE) on a relaxed Nd2ErTm3Te2Os crystal.

a = 4.0831 Å, b = 8.3435 Å, c = 8.3435 Å
α = 120.62°, β = 90.00°, γ = 90.00°
With the nearest neighbours (Å) after each atom.
Fractional coordinates of all 9 atoms:
Nd (0.0000, 0.2015, 0.7985)  4 Te 3.28, 1 Os 3.46, 6 Tm 3.51-3.63
Nd (0.0000, 0.7985, 0.2015)  4 Te 3.28, 1 Os 3.46, 6 Tm 3.51-3.63
Er (0.0000, 0.4177, 0.4177)  1 Os 2.95, 4 Te 3.25
Tm (0.5000, 0.0249, 0.0249)  2 Os 2.90
Tm (0.5000, 0.5649, 0.8058)  2 Os 2.79
Tm (0.5000, 0.8058, 0.5649)  2 Os 2.79
Te (0.5000, 0.1411, 0.4639)  3 Tm 3.22-3.31, 2 Er 3.25, 4 Nd 3.28
Te (0.5000, 0.4639, 0.1411)  3 Tm 3.22-3.31, 2 Er 3.25, 4 Nd 3.28
Os (0.0000, 0.7751, 0.7751)  6 Tm 2.79-2.90, 1 Er 2.95

SG ... No. 38
Energy ... -5.76 eV per atom

Entry 5:
VASP calculation (PBE) on a relaxed NdEr2P3 crystal.

a = 4.0346 Å, b = 4.0346 Å, c = 9.8756 Å
α = 90.00°, β = 90.00°, γ = 120.00°
With the nearest neighbours (Å) after each atom.
Fractional coordinates of all 6 atoms:
Nd (0.0000, 0.0000, 0.0000)  6 P 2.91
Er (0.3333, 0.6667, 0.3385)  6 P 2.82
Er (0.6667, 0.3333, 0.6615)  6 P 2.82
P (0.0000, 0.0000, 0.5000)  6 Er 2.82
P (0.3333, 0.6667, 0.8227)  3 Er 2.82, 3 Nd 2.91
P (0.6667, 0.3333, 0.1773)  3 Er 2.82, 3 Nd 2.91

SG ... No. 164
Energy ... -6.60 eV per atom

Entry 6:
VASP calculation (PBE) on a relaxed NdErPa crystal.

a = 5.2794 Å, b = 5.2794 Å, c = 5.2794 Å
α = 60.00°, β = 60.00°, γ = 60.00°
With the nearest neighbours (Å) after each atom.
Fractional coordinates of all 3 atoms:
Nd (0.0000, 0.0000, 0.0000)  4 Er 3.23
Er (0.2500, 0.2500, 0.2500)  4 Pa 3.23, 4 Nd 3.23
Pa (0.5000, 0.5000, 0.5000)  4 Er 3.23

SG ... No. 216
DFT formation energy ... 3.25 eV/f.u.
Energy above the most stable polymorph in this dataset ... 0.000 eV/atom

Entry 7:
VASP calculation (PBE) on a relaxed Nd2ErPd3Pb3 crystal.

a = 3.9682 Å, b = 7.8816 Å, c = 7.8816 Å
α = 119.67°, β = 90.00°, γ = 90.00°
With the nearest neighbours (Å) after each atom.
Fractional coordinates of all 9 atoms:
Nd (0.0000, 0.2017, 0.7983)  5 Pd 3.15-3.20, 6 Pb 3.29-3.45
Nd (0.0000, 0.7983, 0.2017)  5 Pd 3.15-3.20, 6 Pb 3.29-3.45
Er (0.0000, 0.3965, 0.3965)  5 Pd 3.06-3.14, 6 Pb 3.31-3.41
Pd (0.0000, 0.7926, 0.7926)  6 Pb 2.86-2.91, 1 Er 3.14
Pd (0.5000, 0.1394, 0.4623)  3 Pb 2.90-3.03, 2 Er 3.06, 4 Nd 3.15
Pd (0.5000, 0.4623, 0.1394)  3 Pb 2.90-3.03, 2 Er 3.06, 4 Nd 3.15
Pb (0.5000, 0.0618, 0.0618)  4 Pd 2.90-2.91
Pb (0.5000, 0.5338, 0.7960)  4 Pd 2.86-3.03
Pb (0.5000, 0.7960, 0.5338)  4 Pd 2.86-3.03

SG ... No. 38
Energy ... -5.24 eV per atom

Entry 8:
VASP calculation (PBE) on a relaxed NdErZn2Pb2 crystal.

a = 4.6123 Å, b = 4.6123 Å, c = 16.2598 Å
α = 90.00°, β = 90.00°, γ = 120.00°
With the nearest neighbours (Å) after each atom.
Fractional coordinates of all 12 atoms:
Nd (0.0000, 0.0000, 0.0000)  6 Pb 3.25
Nd (0.0000, 0.0000, 0.5000)  6 Pb 3.25
Er (0.0000, 0.0000, 0.2500)  6 Zn 2.99
Er (0.0000, 0.0000, 0.7500)  6 Zn 2.99
Zn (0.3333, 0.6667, 0.1669)  1 Zn 2.70, 3 Pb 2.79, 3 Er 2.99
Zn (0.3333, 0.6667, 0.3331)  1 Zn 2.70, 3 Pb 2.79, 3 Er 2.99
Zn (0.6667, 0.3333, 0.6669)  1 Zn 2.70, 3 Pb 2.79, 3 Er 2.99
Zn (0.6667, 0.3333, 0.8331)  1 Zn 2.70, 3 Pb 2.79, 3 Er 2.99
Pb (0.3333, 0.6667, 0.6147)  3 Zn 2.79
Pb (0.3333, 0.6667, 0.8853)  3 Zn 2.79
Pb (0.6667, 0.3333, 0.1147)  3 Zn 2.79
Pb (0.6667, 0.3333, 0.3853)  3 Zn 2.79

SG ... No. 194
Energy above the most stable polymorph in this dataset ... 0.000 eV/atom

Entry 9:
VASP calculation (PBE) on a relaxed NdErZn2Pb2 crystal.

a = 4.6329 Å, b = 4.6329 Å, c = 16.1039 Å
α = 90.00°, β = 90.00°, γ = 120.00°
With the nearest neighbours (Å) after each atom.
Fractional coordinates of all 12 atoms:
Nd (0.0000, 0.0000, 0.2500)  6 Zn 3.03
Nd (0.0000, 0.0000, 0.7500)  6 Zn 3.03
Er (0.0000, 0.0000, 0.0000)  6 Pb 3.18
Er (0.0000, 0.0000, 0.5000)  6 Pb 3.18
Zn (0.3333, 0.6667, 0.1616)  3 Pb 2.82, 1 Zn 2.85, 3 Nd 3.03
Zn (0.3333, 0.6667, 0.3384)  3 Pb 2.82, 1 Zn 2.85, 3 Nd 3.03
Zn (0.6667, 0.3333, 0.6616)  3 Pb 2.82, 1 Zn 2.85, 3 Nd 3.03
Zn (0.6667, 0.3333, 0.8384)  3 Pb 2.82, 1 Zn 2.85, 3 Nd 3.03
Pb (0.3333, 0.6667, 0.6067)  3 Zn 2.82
Pb (0.3333, 0.6667, 0.8933)  3 Zn 2.82
Pb (0.6667, 0.3333, 0.1067)  3 Zn 2.82
Pb (0.6667, 0.3333, 0.3933)  3 Zn 2.82

SG ... No. 194
Energy above the most stable polymorph in this dataset ... 0.017 eV/atom

Entry 10:
VASP calculation (PBE) on a relaxed Pr2NdEr3Te2Pd crystal.

a = 4.0619 Å, b = 8.5085 Å, c = 8.5085 Å
α = 119.97°, β = 90.00°, γ = 90.00°
With the nearest neighbours (Å) after each atom.
Fractional coordinates of all 9 atoms:
Pr (0.0000, 0.2026, 0.7974)  4 Te 3.29, 1 Pd 3.45, 6 Er 3.63
Pr (0.0000, 0.7974, 0.2026)  4 Te 3.29, 1 Pd 3.45, 6 Er 3.63
Nd (0.0000, 0.6077, 0.6077)  4 Te 3.29, 1 Pd 3.45, 6 Er 3.63
Er (0.5000, 0.2026, 0.4441)  2 Pd 2.89
Er (0.5000, 0.4441, 0.2026)  2 Pd 2.89
Er (0.5000, 0.9611, 0.9611)  2 Pd 2.89
Te (0.5000, 0.5360, 0.8691)  2 Nd 3.29, 4 Pr 3.29, 3 Er 3.30
Te (0.5000, 0.8691, 0.5360)  2 Nd 3.29, 4 Pr 3.29, 3 Er 3.30
Pd (0.0000, 0.2028, 0.2028)  6 Er 2.89

SG ... No. 38
Energy ... -5.25 eV per atom

Entry 11:
VASP calculation (PBE) on a relaxed NdEr2Sn3PdPt2 crystal.

a = 4.0479 Å, b = 7.5637 Å, c = 7.5637 Å
α = 120.44°, β = 90.00°, γ = 90.00°
With the nearest neighbours (Å) after each atom.
Fractional coordinates of all 9 atoms:
Nd (0.0000, 0.0000, 0.0000)  4 Pt 3.10, 1 Pd 3.14, 6 Sn 3.22-3.39
Er (0.0000, 0.1797, 0.5891)  4 Pt 3.02-3.03, 1 Pd 3.07, 4 Sn 3.24-3.36
Er (0.0000, 0.5891, 0.1797)  4 Pt 3.02-3.03, 1 Pd 3.07, 4 Sn 3.24-3.36
Sn (0.5000, 0.3327, 0.3327)  2 Pd 2.76, 2 Pt 2.89
Sn (0.5000, 0.5869, 0.8437)  2 Pt 2.79-2.88, 2 Pd 2.82
Sn (0.5000, 0.8437, 0.5869)  2 Pt 2.79-2.88, 2 Pd 2.82
Pd (0.0000, 0.5825, 0.5825)  6 Sn 2.76-2.82, 2 Er 3.07
Pt (0.5000, 0.2622, 0.9192)  3 Sn 2.79-2.89, 4 Er 3.02-3.03, 2 Nd 3.10
Pt (0.5000, 0.9192, 0.2622)  3 Sn 2.79-2.89, 4 Er 3.02-3.03, 2 Nd 3.10

SG ... No. 38
Energy ... -5.83 eV per atom

Entry 12:
VASP calculation (PBE) on a relaxed NdEr2Sn3Pd3 crystal.

a = 4.0447 Å, b = 7.5571 Å, c = 7.5571 Å
α = 120.40°, β = 90.00°, γ = 90.00°
With the nearest neighbours (Å) after each atom.
Fractional coordinates of all 9 atoms:
Nd (0.0000, 0.0000, 0.0000)  5 Pd 3.10-3.14, 6 Sn 3.22-3.39
Er (0.0000, 0.1801, 0.5893)  5 Pd 3.02-3.07, 6 Sn 3.24-3.38
Er (0.0000, 0.5893, 0.1801)  5 Pd 3.02-3.07, 6 Sn 3.24-3.38
Sn (0.5000, 0.3329, 0.3329)  4 Pd 2.76-2.89
Sn (0.5000, 0.5870, 0.8438)  4 Pd 2.79-2.88
Sn (0.5000, 0.8438, 0.5870)  4 Pd 2.79-2.88
Pd (0.0000, 0.5826, 0.5826)  6 Sn 2.76-2.81, 2 Er 3.07
Pd (0.5000, 0.2622, 0.9193)  3 Sn 2.79-2.89, 4 Er 3.02-3.03, 2 Nd 3.10
Pd (0.5000, 0.9193, 0.2622)  3 Sn 2.79-2.89, 4 Er 3.02-3.03, 2 Nd 3.10

SG ... No. 38
Energy ... -5.53 eV per atom

Entry 13:
VASP calculation (PBE) on a relaxed PrNdEr crystal.

a = 5.5200 Å, b = 5.5200 Å, c = 5.5200 Å
α = 60.00°, β = 60.00°, γ = 60.00°
With the nearest neighbours (Å) after each atom.
Fractional coordinates of all 3 atoms:
Pr (0.0000, 0.0000, 0.0000)  4 Er 3.38
Nd (0.5000, 0.5000, 0.5000)  4 Er 3.38
Er (0.7500, 0.7500, 0.7500)  4 Pr 3.38, 4 Nd 3.38

SG ... No. 216
DFT formation energy ... 2.03 eV/f.u.
Energy above the most stable polymorph in this dataset ... 0.000 eV/atom

Entry 14:
VASP calculation (PBE) on a relaxed NdErPt2 crystal.

a = 3.7195 Å, b = 5.1411 Å, c = 8.9492 Å
α = 90.00°, β = 90.00°, γ = 90.00°
With the nearest neighbours (Å) after each atom.
Fractional coordinates of all 8 atoms:
Nd (0.0000, 0.0008, 0.2500)  8 Pt 2.91-3.18
Nd (0.0000, 0.9992, 0.7500)  8 Pt 2.91-3.18
Er (0.0009, 0.5000, 0.5000)  8 Pt 2.91-3.17
Er (0.9991, 0.5000, 0.0000)  8 Pt 2.91-3.17
Pt (0.5001, 0.0000, 0.0000)  4 Nd 2.91, 4 Er 3.17
Pt (0.4999, 0.0000, 0.5000)  4 Nd 2.91, 4 Er 3.17
Pt (0.5000, 0.4976, 0.7500)  4 Er 2.91, 4 Nd 3.17-3.18
Pt (0.5000, 0.5024, 0.2500)  4 Er 2.91, 4 Nd 3.17-3.18

SG ... No. 17
DFT formation energy ... -4.16 eV/f.u.
Energy above the most stable polymorph in this dataset ... 0.190 eV/atom

Entry 15:
VASP calculation (PBE) on a relaxed NdEr3Pt4 crystal.

a = 5.5691 Å, b = 4.5171 Å, c = 7.0468 Å
α = 90.00°, β = 90.75°, γ = 90.00°
With the nearest neighbours (Å) after each atom.
Fractional coordinates of all 8 atoms:
Nd (0.0000, 0.0000, 0.0000)  7 Pt 2.89-3.11
Er (0.2177, 0.0000, 0.4983)  7 Pt 2.83-3.04
Er (0.4987, 0.5000, 0.1380)  7 Pt 2.90-3.10
Er (0.7160, 0.5000, 0.6331)  7 Pt 2.87-2.98
Pt (0.0160, 0.5000, 0.2876)  5 Er 2.90-3.06, 2 Pt 2.94, 2 Nd 3.04
Pt (0.2081, 0.5000, 0.7602)  5 Er 2.87-3.10, 2 Pt 2.90, 2 Nd 3.06
Pt (0.5123, 0.0000, 0.8556)  2 Nd 2.89-3.04, 2 Pt 2.90, 5 Er 2.98-3.01
Pt (0.6960, 0.0000, 0.3676)  6 Er 2.83-3.04, 2 Pt 2.94, 1 Nd 3.11

SG ... No. 6
DFT formation energy ... -10.13 eV/f.u.

Entry 16:
VASP calculation (PBE) on a relaxed NdErPt2 crystal.

a = 5.6272 Å, b = 4.5494 Å, c = 7.1388 Å
α = 90.00°, β = 91.52°, γ = 90.00°
With the nearest neighbours (Å) after each atom.
Fractional coordinates of all 8 atoms:
Nd (0.1422, 0.2500, 0.1856)  7 Pt 2.92-3.09
Nd (0.8578, 0.7500, 0.8144)  7 Pt 2.92-3.09
Er (0.3609, 0.2500, 0.6800)  7 Pt 2.89-3.11
Er (0.6391, 0.7500, 0.3200)  7 Pt 2.89-3.11
Pt (0.1646, 0.7500, 0.4643)  4 Er 2.89-3.11, 2 Pt 2.99, 3 Nd 3.02-3.08
Pt (0.3525, 0.7500, 0.9485)  2 Pt 2.90, 4 Nd 2.92-3.09, 3 Er 2.98-3.07
Pt (0.6475, 0.2500, 0.0515)  2 Pt 2.90, 4 Nd 2.92-3.09, 3 Er 2.98-3.07
Pt (0.8354, 0.2500, 0.5357)  4 Er 2.89-3.11, 2 Pt 2.99, 3 Nd 3.02-3.08

SG ... No. 11
DFT formation energy ... -4.88 eV/f.u.
Energy above the most stable polymorph in this dataset ... 0.010 eV/atom

Entry 17:
VASP calculation (PBE) on a relaxed NdErPt2 crystal.

a = 4.5498 Å, b = 7.1552 Å, c = 5.6085 Å
α = 90.00°, β = 90.00°, γ = 90.00°
With the nearest neighbours (Å) after each atom.
Fractional coordinates of all 8 atoms:
Nd (0.0000, 0.0700, 0.0000)  7 Pt 2.93-3.20
Nd (0.5000, 0.9300, 0.5000)  7 Pt 2.93-3.20
Er (0.0000, 0.5669, 0.2180)  7 Pt 2.86-3.01
Er (0.5000, 0.4331, 0.7180)  7 Pt 2.86-3.01
Pt (0.0000, 0.2241, 0.5152)  4 Nd 2.93-3.10, 2 Pt 2.93, 3 Er 2.95-2.97
Pt (0.0000, 0.6879, 0.7043)  4 Er 2.86-3.01, 2 Pt 2.93, 3 Nd 3.08-3.20
Pt (0.5000, 0.3121, 0.2043)  4 Er 2.86-3.01, 2 Pt 2.93, 3 Nd 3.08-3.20
Pt (0.5000, 0.7759, 0.0152)  4 Nd 2.93-3.10, 2 Pt 2.93, 3 Er 2.95-2.97

SG ... No. 31
DFT formation energy ... -4.92 eV/f.u.
Energy above the most stable polymorph in this dataset ... 0.000 eV/atom

Entry 18:
VASP calculation (PBE) on a relaxed NdErPt2 crystal.

a = 4.5596 Å, b = 5.6246 Å, c = 7.1767 Å
α = 90.00°, β = 90.00°, γ = 90.00°
With the nearest neighbours (Å) after each atom.
Fractional coordinates of all 8 atoms:
Nd (0.0000, 0.1093, 0.0000)  7 Pt 2.89-3.10
Nd (0.0000, 0.8907, 0.5000)  7 Pt 2.89-3.10
Er (0.5000, 0.3905, 0.6356)  7 Pt 2.94-3.06
Er (0.5000, 0.6095, 0.1356)  7 Pt 2.94-3.06
Pt (0.0000, 0.4078, 0.3635)  3 Nd 2.89-3.10, 2 Pt 2.93, 4 Er 3.00-3.03
Pt (0.0000, 0.5922, 0.8635)  3 Nd 2.89-3.10, 2 Pt 2.93, 4 Er 3.00-3.03
Pt (0.5000, 0.1004, 0.2755)  2 Pt 2.93, 3 Er 2.94-3.06, 4 Nd 3.02-3.03
Pt (0.5000, 0.8996, 0.7755)  2 Pt 2.93, 3 Er 2.94-3.06, 4 Nd 3.02-3.03

SG ... No. 26
DFT formation energy ... -4.86 eV/f.u.
Energy above the most stable polymorph in this dataset ... 0.015 eV/atom

Entry 19:
VASP calculation (PBE) on a relaxed NdEr2Sn3Pt3 crystal.

a = 4.0543 Å, b = 7.5418 Å, c = 7.5418 Å
α = 120.31°, β = 90.00°, γ = 90.00°
With the nearest neighbours (Å) after each atom.
Fractional coordinates of all 9 atoms:
Nd (0.0000, 0.0000, 0.0000)  5 Pt 3.11, 6 Sn 3.22-3.37
Er (0.0000, 0.1863, 0.5923)  5 Pt 3.03-3.04, 6 Sn 3.25-3.37
Er (0.0000, 0.5923, 0.1863)  5 Pt 3.03-3.04, 6 Sn 3.25-3.37
Sn (0.5000, 0.3338, 0.3338)  4 Pt 2.77-2.88
Sn (0.5000, 0.5905, 0.8482)  4 Pt 2.78-2.87
Sn (0.5000, 0.8482, 0.5905)  4 Pt 2.78-2.87
Pt (0.0000, 0.5854, 0.5854)  6 Sn 2.77-2.82, 2 Er 3.04
Pt (0.5000, 0.2653, 0.9222)  3 Sn 2.78-2.88, 4 Er 3.03, 2 Nd 3.11
Pt (0.5000, 0.9222, 0.2653)  3 Sn 2.78-2.88, 4 Er 3.03, 2 Nd 3.11

SG ... No. 38
Energy ... -5.97 eV per atom

Entry 20:
VASP calculation (PBE) on a relaxed NdErSn2Pt4 crystal.

a = 4.5843 Å, b = 4.5843 Å, c = 9.2107 Å
α = 90.00°, β = 90.00°, γ = 120.00°
With the nearest neighbours (Å) after each atom.
Fractional coordinates of all 8 atoms:
Nd (0.0000, 0.0000, 0.0000)  8 Pt 3.07-3.18
Er (0.6667, 0.3333, 0.5000)  8 Pt 3.01-3.06
Sn (0.3333, 0.6667, 0.2545)  6 Pt 2.76-2.77
Sn (0.3333, 0.6667, 0.7455)  6 Pt 2.76-2.77
Pt (0.0000, 0.0000, 0.3450)  3 Sn 2.77, 1 Pt 2.86, 3 Er 3.01
Pt (0.0000, 0.0000, 0.6550)  3 Sn 2.77, 1 Pt 2.86, 3 Er 3.01
Pt (0.6667, 0.3333, 0.1680)  3 Sn 2.76, 1 Er 3.06, 3 Nd 3.07, 1 Pt 3.10
Pt (0.6667, 0.3333, 0.8320)  3 Sn 2.76, 1 Er 3.06, 3 Nd 3.07, 1 Pt 3.10

SG ... No. 187
Energy ... -6.17 eV per atom

| no. | spin magnetization (Bohr magnetons per cell) |
| --- | --- |
| 1 | 0.0 |
| 2 | 0.0 |
| 3 | 0.1 |
| 4 | 0.0 |
| 5 | 0.0 |
| 6 | 1.6 |
| 7 | 0.0 |
| 8 | 0.0 |
| 9 | 0.0 |
| 10 | 0.0 |
| 11 | 0.0 |
| 12 | 0.0 |
| 13 | 0.1 |
| 14 | 0.0 |
| 15 | 0.0 |
| 16 | 0.0 |
| 17 | 0.0 |
| 18 | 0.0 |
| 19 | 0.0 |
| 20 | 0.0 |